Entry from Alexandria: a geometry-optimized MgTaCl2 structure (PBE-GGA).

The structure in POSCAR format:
```
MgTaCl2
1.0
0.000 3.249 3.249
3.249 0.000 3.249
3.249 3.249 0.000
Cl Ta Mg
2 1 1
Direct
0.250 0.250 0.250
0.750 0.750 0.750
0.500 0.500 0.500
0.000 0.000 0.000
```

Summary:
magnetic moment: 0.00 μB/cell
calculated volume: 17.1 Å³ per atom
E_form (uncorrected): 300 meV/atom
total DFT energy (no corrections): -3.986 eV per atom
energy relative to the lowest polymorph listed for this composition: 334 kJ/mol of formula units

---

Entry from Alexandria: a geometry-optimized Hf4Al2H structure (PBE-GGA).

The structure in POSCAR format:
```
Hf4Al2H
1.0
4.064 0.000 0.000
0.000 4.064 0.000
2.032 2.032 7.658
H Hf Al
1 4 2
Direct
0.000 0.000 0.000
0.822 0.822 0.357
0.500 0.000 0.000
0.000 0.500 0.000
0.178 0.178 0.643
0.364 0.364 0.272
0.636 0.636 0.728
```

Summary:
magnetic moment: 0.00 μB/cell
calculated volume: 18.1 Å³ per atom
total DFT energy (no corrections): -7.437 eV per atom
energy relative to the lowest polymorph listed for this composition: 0 kJ/mol of formula units

---

Entry from Alexandria: a geometry-optimized BaMn2Cl structure (PBE-GGA).

The structure in POSCAR format:
```
BaMn2Cl
1.0
-1.588 -0.068 3.499
2.010 -3.163 0.850
6.165 4.695 2.888
Mn Ba Cl
2 1 1
Direct
0.000 0.000 0.120
0.500 0.500 0.174
0.000 0.000 0.513
0.500 0.500 0.693
```

Summary:
magnetic moment: 8.09 μB/cell
calculated volume: 30.5 Å³ per atom
E_form (uncorrected): 11 meV/atom
total DFT energy (no corrections): -5.516 eV per atom
energy relative to the lowest polymorph listed for this composition: 1 kJ/mol of formula units

---

Entry from Alexandria: a geometry-optimized Tb2Sm6Dy3Tm structure (PBE-GGA).

The structure in POSCAR format:
```
Tb2Sm6Dy3Tm
1.0
-0.061 -4.746 -4.006
4.765 3.984 0.020
3.968 -6.403 9.125
Tm Tb Dy Sm
1 2 3 6
Direct
0.000 0.000 0.000
0.333 0.667 0.000
0.667 0.333 0.000
0.500 0.500 0.500
0.833 0.167 0.500
0.167 0.833 0.500
0.249 0.249 0.750
0.416 0.083 0.250
0.584 0.917 0.750
0.083 0.416 0.250
0.751 0.751 0.250
0.917 0.584 0.750
```

Summary:
formation energy: 0.0137 eV per atom
magnetic moment: 0.00 μB/cell
calculated volume: 32.4 Å³ per atom
total DFT energy (no corrections): -4.641 eV per atom

---

Entry from Alexandria: a geometry-optimized AgPtS structure (PBE-GGA).

The structure in POSCAR format:
```
AgPtS
1.0
-0.663 2.463 -2.147
-2.174 -2.496 0.395
-2.555 2.872 4.083
Ag S Pt
1 1 1
Direct
0.000 0.000 0.009
0.333 0.667 0.619
0.667 0.333 0.373
```

Summary:
magnetic moment: 0.00 μB/cell
calculated volume: 18.0 Å³ per atom
E_form (uncorrected): 105 meV/atom
total DFT energy (no corrections): -4.234 eV per atom

---

Entry from Alexandria: a geometry-optimized Pm6RuPb2 structure (PBE-GGA).

The structure in POSCAR format:
```
Pm6RuPb2
1.0
-1.270 0.839 3.931
-8.189 -0.909 -2.453
4.406 -6.794 2.874
Pm Pb Ru
6 2 1
Direct
0.500 0.000 0.599
0.000 0.238 0.000
0.500 0.598 0.000
0.000 0.763 0.763
0.000 0.000 0.237
0.500 0.401 0.401
0.000 0.333 0.666
0.000 0.667 0.334
0.500 0.001 0.000
```

Summary:
formation energy: -0.3804 eV per atom
magnetic moment: 0.00 μB/cell
calculated volume: 30.0 Å³ per atom
total DFT energy (no corrections): -5.402 eV per atom

---

Entry from Alexandria: a geometry-optimized MnCr3As structure (PBE-GGA).

The structure in POSCAR format:
```
MnCr3As
1.0
4.365 0.000 0.000
0.000 4.365 0.000
0.000 0.000 4.365
Mn Cr As
1 3 1
Direct
0.500 0.500 0.500
0.000 0.000 0.500
0.500 0.000 0.000
0.000 0.500 0.000
0.000 0.000 0.000
```

Summary:
formation energy: 1.4330 eV per atom
magnetic moment: 5.77 μB/cell
calculated volume: 16.6 Å³ per atom
total DFT energy (no corrections): -7.105 eV per atom
energy relative to the lowest polymorph listed for this composition: 217 kJ/mol of formula units

---

Entry from Alexandria: a geometry-optimized Y5PaRh6 structure (PBE-GGA).

The structure in POSCAR format:
```
Y5PaRh6
1.0
-4.095 2.325 -1.291
-3.742 -5.672 1.655
-4.640 0.776 6.944
Rh Y Pa
6 5 1
Direct
0.154 0.922 0.692
0.500 0.228 0.000
0.846 0.614 0.308
0.154 0.386 0.692
0.846 0.078 0.308
0.500 0.772 0.000
0.000 0.500 0.000
0.337 0.337 0.326
0.663 0.663 0.674
0.324 0.824 0.353
0.676 0.176 0.647
0.000 0.000 0.000
```

Summary:
formation energy: -0.8417 eV per atom
magnetic moment: 0.00 μB/cell
calculated volume: 20.6 Å³ per atom
total DFT energy (no corrections): -8.002 eV per atom

---

Entry from Alexandria: a geometry-optimized Te5Se12Cl3 structure (PBE-GGA).

The structure in POSCAR format:
```
Te5Se12Cl3
1.0
-2.483 -13.714 -4.337
13.686 1.137 4.942
-9.331 3.495 10.666
Se Te Cl
48 20 12
Direct
0.043 0.608 0.726
0.434 0.392 0.618
0.934 0.118 0.892
0.118 0.184 0.226
0.108 0.726 0.543
0.608 0.566 0.882
0.392 0.957 0.774
0.392 0.434 0.118
0.382 0.108 0.566
0.726 0.108 0.043
0.457 0.684 0.066
0.816 0.934 0.043
0.274 0.892 0.957
0.543 0.316 0.934
0.618 0.726 0.684
0.316 0.543 0.434
0.957 0.392 0.274
0.684 0.457 0.566
0.274 0.382 0.816
0.892 0.274 0.457
0.043 0.434 0.816
0.226 0.684 0.118
0.608 0.043 0.226
0.882 0.066 0.608
0.118 0.934 0.392
0.066 0.882 0.108
0.892 0.618 0.934
0.226 0.543 0.608
0.774 0.316 0.882
0.543 0.226 0.108
0.184 0.066 0.957
0.684 0.226 0.618
0.184 0.118 0.726
0.566 0.957 0.684
0.566 0.608 0.382
0.066 0.184 0.457
0.882 0.816 0.774
0.316 0.774 0.382
0.934 0.816 0.543
0.457 0.774 0.892
0.108 0.382 0.066
0.618 0.892 0.434
0.957 0.566 0.184
0.434 0.043 0.316
0.816 0.882 0.274
0.382 0.274 0.316
0.726 0.618 0.184
0.774 0.457 0.392
0.875 0.625 0.750
0.750 0.625 0.375
0.000 0.500 0.500
0.750 0.125 0.875
0.125 0.375 0.250
0.500 0.000 0.500
0.375 0.250 0.125
0.250 0.375 0.625
0.500 0.000 0.000
0.000 0.500 0.000
0.500 0.500 0.000
0.625 0.875 0.250
0.625 0.750 0.875
0.000 0.000 0.500
0.500 0.500 0.500
0.375 0.125 0.750
0.000 0.000 0.000
0.250 0.875 0.125
0.875 0.250 0.625
0.125 0.750 0.375
0.375 0.750 0.625
0.250 0.125 0.375
0.125 0.250 0.875
0.125 0.875 0.750
0.750 0.375 0.125
0.625 0.375 0.750
0.750 0.875 0.625
0.875 0.750 0.125
0.625 0.250 0.375
0.375 0.625 0.250
0.875 0.125 0.250
0.250 0.625 0.875
```

Summary:
magnetic moment: 0.00 μB/cell
calculated volume: 29.9 Å³ per atom
E_form (uncorrected): 317 meV/atom
total DFT energy (no corrections): -2.836 eV per atom

---

Entry from Alexandria: a geometry-optimized KZrNbI2 structure (PBE-GGA).

The structure in POSCAR format:
```
KZrNbI2
1.0
5.858 0.000 0.000
0.000 5.093 0.000
0.000 0.000 5.858
I Zr K Nb
2 1 1 1
Direct
0.500 0.000 0.000
0.000 0.000 0.500
0.000 0.500 0.000
0.500 0.500 0.500
0.000 0.000 0.000
```

Summary:
magnetic moment: 1.02 μB/cell
calculated volume: 35.0 Å³ per atom
E_form (uncorrected): 307 meV/atom
total DFT energy (no corrections): -4.256 eV per atom

---

Entry from Alexandria: a geometry-optimized Mn3HOs structure (PBE-GGA).

The structure in POSCAR format:
```
Mn3HOs
1.0
-1.078 2.569 -2.370
-3.167 0.331 1.799
1.478 2.583 2.127
Os H Mn
1 1 3
Direct
0.500 0.500 0.500
0.000 0.000 0.000
0.000 0.000 0.500
0.000 0.500 0.000
0.500 0.000 0.000
```

Summary:
magnetic moment: 1.69 μB/cell
calculated volume: 9.8 Å³ per atom
total DFT energy (no corrections): -8.386 eV per atom
energy relative to the lowest polymorph listed for this composition: 35 kJ/mol of formula units

---

Entry from Alexandria: a geometry-optimized USbSe structure (PBE-GGA).

The structure in POSCAR format:
```
USbSe
1.0
3.952 0.000 0.000
0.000 4.754 0.000
0.000 -2.377 4.117
Sb U Se
1 1 1
Direct
0.667 0.333 0.667
0.166 0.667 0.333
0.167 0.000 0.000
```

Summary:
magnetic moment: 1.68 μB/cell
calculated volume: 25.8 Å³ per atom
E_form (uncorrected): -400 meV/atom
total DFT energy (no corrections): -6.699 eV per atom
energy relative to the lowest polymorph listed for this composition: 117 kJ/mol of formula units

---

Entry from Alexandria: a geometry-optimized Pr2InSiPd6 structure (PBE-GGA).

The structure in POSCAR format:
```
Pr2InSiPd6
1.0
-3.729 2.383 3.483
-2.380 -7.670 2.699
6.137 0.329 6.347
Pd In Pr Si
12 2 4 2
Direct
0.252 0.007 0.000
0.752 0.993 0.500
0.000 0.897 0.247
0.254 0.452 0.500
0.248 0.993 0.500
0.746 0.452 0.500
0.000 0.897 0.753
0.748 0.007 0.000
0.246 0.548 0.000
0.754 0.548 0.000
0.500 0.103 0.253
0.500 0.103 0.747
0.000 0.714 0.500
0.500 0.286 0.000
0.000 0.263 0.750
0.000 0.263 0.250
0.500 0.737 0.750
0.500 0.737 0.250
0.500 0.225 0.500
0.000 0.775 0.000
```

Summary:
magnetic moment: 0.00 μB/cell
calculated volume: 21.1 Å³ per atom
E_form (uncorrected): -690 meV/atom
total DFT energy (no corrections): -5.578 eV per atom

---

Entry from Alexandria: a geometry-optimized MnBe3Nb structure (PBE-GGA).

The structure in POSCAR format:
```
MnBe3Nb
1.0
4.365 0.000 0.000
0.000 4.365 0.000
0.000 0.000 4.365
Mn Be Nb
1 3 1
Direct
0.500 0.500 0.500
0.500 0.000 0.000
0.000 0.500 0.000
0.000 0.000 0.500
0.000 0.000 0.000
```

Summary:
formation energy: 1.5465 eV per atom
magnetic moment: 3.51 μB/cell
calculated volume: 16.6 Å³ per atom
total DFT energy (no corrections): -4.537 eV per atom
energy relative to the lowest polymorph listed for this composition: 505 kJ/mol of formula units

---

Entry from Alexandria: a geometry-optimized CaTi4Rh5 structure (PBE-GGA).

The structure in POSCAR format:
```
CaTi4Rh5
1.0
-2.383 1.184 1.605
-1.990 -1.566 -1.800
0.663 -12.952 10.540
Rh Ti Ca
5 4 1
Direct
0.500 0.500 0.500
0.500 0.500 0.865
0.500 0.500 0.135
0.500 0.500 0.684
0.500 0.500 0.316
0.000 0.000 0.216
0.000 0.000 0.407
0.000 0.000 0.784
0.000 0.000 0.593
0.000 0.000 0.000
```

Summary:
formation energy: -0.7158 eV per atom
magnetic moment: 0.00 μB/cell
calculated volume: 16.1 Å³ per atom
total DFT energy (no corrections): -7.750 eV per atom

---

Entry from Alexandria: a geometry-optimized Ag3ClF3 structure (PBE-GGA).

The structure in POSCAR format:
```
Ag3ClF3
1.0
-5.367 -4.413 -0.316
0.348 -5.611 -4.095
0.605 -6.429 2.955
Ag F Cl
6 6 2
Direct
0.435 0.072 0.755
0.928 0.262 0.245
0.072 0.738 0.755
0.262 0.565 0.245
0.565 0.928 0.245
0.738 0.435 0.755
0.619 0.178 0.328
0.381 0.822 0.672
0.822 0.124 0.672
0.124 0.381 0.672
0.876 0.619 0.328
0.178 0.876 0.328
0.670 0.670 0.989
0.330 0.330 0.011
```

Summary:
magnetic moment: 0.00 μB/cell
calculated volume: 17.5 Å³ per atom
E_form (uncorrected): -884 meV/atom
total DFT energy (no corrections): -3.172 eV per atom
energy relative to the lowest polymorph listed for this composition: 9 kJ/mol of formula units

---

Entry from Alexandria: a geometry-optimized Li2ScGaGe2 structure (PBE-GGA).

The structure in POSCAR format:
```
Li2ScGaGe2
1.0
4.018 0.000 0.000
0.000 6.744 0.000
0.000 0.000 7.949
Li Ga Sc Ge
4 2 2 4
Direct
0.500 0.042 0.080
0.500 0.542 0.920
0.000 0.858 0.825
0.000 0.358 0.175
0.500 0.647 0.310
0.500 0.147 0.690
0.000 0.477 0.561
0.000 0.977 0.439
0.500 0.761 0.626
0.500 0.261 0.374
0.000 0.260 0.857
0.000 0.760 0.143
```

Summary:
formation energy: -0.4904 eV per atom
magnetic moment: 0.00 μB/cell
calculated volume: 18.0 Å³ per atom
total DFT energy (no corrections): -4.227 eV per atom

---

Entry from Alexandria: a geometry-optimized Te2AsRu structure (PBE-GGA).

The structure in POSCAR format:
```
Te2AsRu
1.0
-4.901 2.935 -3.216
-6.165 0.781 2.087
6.465 0.921 0.582
Te As Ru
2 1 1
Direct
0.766 0.266 0.500
0.061 0.061 0.000
0.420 0.420 0.000
0.253 0.753 0.500
```

Summary:
magnetic moment: 0.00 μB/cell
calculated volume: 23.0 Å³ per atom
E_form (uncorrected): 167 meV/atom
total DFT energy (no corrections): -4.886 eV per atom

---

Entry from Alexandria: a geometry-optimized MgAlNi2 structure (PBE-GGA).

The structure in POSCAR format:
```
MgAlNi2
1.0
4.252 -0.001 -0.016
3.349 2.620 -0.016
0.875 0.301 4.908
Ni Mg Al
2 1 1
Direct
0.992 0.992 0.030
0.508 0.508 0.470
0.750 0.750 0.750
0.250 0.250 0.250
```

Summary:
formation energy: -0.1919 eV per atom
magnetic moment: 0.00 μB/cell
calculated volume: 13.7 Å³ per atom
total DFT energy (no corrections): -4.417 eV per atom

---

Entry from Alexandria: a geometry-optimized ScSbI2Br structure (PBE-GGA).

The structure in POSCAR format:
```
ScSbI2Br
1.0
-2.403 1.263 -6.320
6.237 -1.246 -2.621
-1.142 -4.670 -0.499
Br Sc I Sb
1 1 2 1
Direct
0.000 0.000 0.000
0.000 0.000 0.500
0.500 0.000 0.000
0.000 0.500 0.000
0.500 0.500 0.500
```

Summary:
magnetic moment: 3.03 μB/cell
calculated volume: 45.7 Å³ per atom
E_form (uncorrected): 330 meV/atom
total DFT energy (no corrections): -2.716 eV per atom
energy relative to the lowest polymorph listed for this composition: 332 kJ/mol of formula units